Crystalline Tb2SnSb at its relaxed geometry. Source: the Alexandria database, functional PBE.

Unit cell a=4.258 b=4.258 c=8.073 alpha=105.15 beta=105.15 gamma=59.78
Sites, in units of the cell vectors:
Tb: 0.247 0.247 0.241
Tb: 0.753 0.753 0.759
Sn: 0.000 0.000 0.500
Sb: 0.500 0.500 0.000

Computed properties:
spin magnetization	0.000	μB per formula unit
E_form (uncorrected)	-0.84	eV/atom
distance to the lowest polymorph of the same formula	96	meV/atom
DOS at the Fermi energy	1.0	states/eV/f.u.
SG	No. 12